This record from Alexandria describes SmY7Tm4 after structural relaxation. The functional is GGA-PBE.

Lattice parameters (Å, degrees): 5.846 9.556 8.504 62.21 69.90 72.19
Last column: magnetic moment on the atom in μB.
Atoms (fractional coordinates):
1 Sm 0.000 0.000 0.000  0.10
2 Y 0.785 0.881 0.550  0.00
3 Y 0.215 0.119 0.450  0.00
4 Y 0.083 0.553 0.280  0.00
5 Y 0.917 0.447 0.720  0.00
6 Y 0.213 0.761 0.814  0.00
7 Y 0.500 0.000 0.000  0.10
8 Y 0.787 0.239 0.186  0.00
9 Tm 0.571 0.301 0.556  0.01
10 Tm 0.429 0.699 0.444  0.01
11 Tm 0.671 0.617 0.042  0.01
12 Tm 0.329 0.383 0.958  0.01

Output
Raw total energy (eV per atom): -5.416
Density of states at the Fermi level (states/eV/atom): 1.792
V (Å³ per atom): 32.379
Energy relative to the lowest polymorph listed for this composition (eV/atom): 0.149